IrSeSCl2: optimized geometry, GGA-PBEsol.

Calculated values
The uncorrected energy is -4.010 eV per atom. The calculated density comes out at 6.193 g cm⁻³.

Unit cell a=4.5165 b=4.7128 c=4.7128 alpha=90.00 beta=90.00 gamma=90.00
Last column: magnetic moment on the atom in μB.
Fractional coordinates of all 5 atoms:
S (0.5000, 0.0000, 0.0000)  -0.01
Ir (0.0000, 0.0000, 0.0000)  -0.02
Se (0.5000, 0.5000, 0.5000)  0.19
Cl (0.0000, 0.0000, 0.5000)  0.03
Cl (0.0000, 0.5000, 0.0000)  0.03



TaIrS2Cl: optimized geometry, GGA-PBEsol.

Calculated values
The uncorrected energy is -5.772 eV per atom. The calculated density comes out at 8.282 g cm⁻³.

Unit cell a=4.5145 b=4.5821 c=4.5821 alpha=90.00 beta=90.00 gamma=90.00
Last column: magnetic moment on the atom in μB.
Fractional coordinates of all 5 atoms:
Cl (0.5000, 0.0000, 0.0000)  -0.03
S (0.0000, 0.0000, 0.5000)  -0.12
S (0.0000, 0.5000, 0.0000)  -0.12
Ir (0.0000, 0.0000, 0.0000)  -0.19
Ta (0.5000, 0.5000, 0.5000)  1.56



TaIrSCl2: optimized geometry, GGA-PBEsol.

Calculated values
The uncorrected energy is -5.432 eV per atom. The calculated density comes out at 7.632 g cm⁻³.

Unit cell a=4.6654 b=4.6654 c=4.7594 alpha=90.00 beta=90.00 gamma=90.00
Last column: magnetic moment on the atom in μB.
Fractional coordinates of all 5 atoms:
Cl (0.0000, 0.5000, 0.0000)  0.03
Cl (0.5000, 0.0000, 0.0000)  0.03
S (0.0000, 0.0000, 0.5000)  0.02
Ir (0.5000, 0.5000, 0.5000)  1.80
Ta (0.0000, 0.0000, 0.0000)  0.06



TeIrS2Cl: optimized geometry, GGA-PBEsol.

Calculated values
The uncorrected energy is -4.555 eV per atom. The calculated density comes out at 6.992 g cm⁻³.

Unit cell a=4.6731 b=4.6168 c=4.6168 alpha=90.00 beta=90.00 gamma=90.00
Fractional coordinates of all 5 atoms:
S (0.0000, 0.0000, 0.5000)
S (0.0000, 0.5000, 0.0000)
Ir (0.0000, 0.0000, 0.0000)
Te (0.5000, 0.5000, 0.5000)
Cl (0.5000, 0.0000, 0.0000)



- calculated density of number 2 (TaIrS2Cl)?
  8.282 g cm⁻³



- calculated density of number 4 (TeIrS2Cl)?
  6.992 g cm⁻³



- The highest calculated density belongs to which entry?
  TaIrS2Cl